(1)
A relaxed Y2GaSi2Rh5 crystal, computed with PBE.

Computed properties:
D(E_F)   3.30 states/eV/f.u.
Formation energy from raw total energies   -0.95 eV per atom
Spin magnetization   0.000 μB per cell
Crystal system   tetragonal

Cell: 3.4608 9.7296 9.7296 Å, 90.00 90.00 90.00°
With the nearest neighbours (Å) after each atom.
Sites, in units of the cell vectors:
1 Y 0.0000 0.3250 0.8250  3 Si 2.77-2.95, 6 Rh 2.97-3.06
2 Y 0.0000 0.1750 0.3250  3 Si 2.77-2.95, 6 Rh 2.97-3.06
3 Y 0.0000 0.6750 0.1750  3 Si 2.77-2.95, 6 Rh 2.97-3.06
4 Y 0.0000 0.8250 0.6750  3 Si 2.77-2.95, 6 Rh 2.97-3.06
5 Si 0.0000 0.6236 0.8764  6 Rh 2.42-2.43
6 Si 0.0000 0.1236 0.6236  6 Rh 2.42-2.43
7 Si 0.0000 0.8764 0.3764  6 Rh 2.42-2.43
8 Si 0.0000 0.3764 0.1236  6 Rh 2.42-2.43
9 Rh 0.5000 0.5000 0.0000  4 Si 2.43
10 Rh 0.5000 0.2111 0.0680  2 Si 2.42
11 Rh 0.5000 0.0000 0.5000  4 Si 2.43
12 Rh 0.5000 0.0680 0.7889  2 Si 2.42
13 Rh 0.5000 0.9320 0.2111  2 Si 2.42
14 Rh 0.5000 0.2889 0.5680  2 Si 2.42
15 Rh 0.5000 0.7889 0.9320  2 Si 2.42
16 Rh 0.5000 0.5680 0.7111  2 Si 2.42
17 Rh 0.5000 0.7111 0.4320  2 Si 2.42
18 Rh 0.5000 0.4320 0.2889  2 Si 2.42
19 Ga 0.0000 0.5000 0.5000  8 Rh 2.77
20 Ga 0.0000 0.0000 0.0000  8 Rh 2.77

***

(2)
A relaxed LaPmHo2Bi4 crystal, computed with PBE.

Computed properties:
D(E_F)   1.17 states/eV/f.u.
DFT formation energy   -7.31 eV/f.u.
Spin magnetization   0.000 μB per cell
Crystal system   monoclinic

Cell: 4.5616 7.8727 7.8929 Å, 70.48 90.00 90.00°
With the nearest neighbours (Å) after each atom.
Sites, in units of the cell vectors:
1 Bi 0.0000 0.7619 0.7433  3 Ho 3.16-3.19, 1 Pm 3.25, 2 La 3.28
2 Bi 0.0000 0.2381 0.2567  3 Ho 3.16-3.19, 1 Pm 3.25, 2 La 3.28
3 Bi 0.5000 0.7600 0.2493  3 Ho 3.16-3.19, 2 Pm 3.26, 1 La 3.28
4 Bi 0.5000 0.2400 0.7507  3 Ho 3.16-3.19, 2 Pm 3.26, 1 La 3.28
5 Pm 0.0000 0.5000 0.5000  6 Bi 3.25-3.26
6 Ho 0.5000 0.0000 0.5000  6 Bi 3.16
7 Ho 0.0000 0.0000 0.0000  6 Bi 3.19
8 La 0.5000 0.5000 0.0000  6 Bi 3.28

***

(3)
A relaxed LaZrMn2Ag crystal, computed with PBE.

Computed properties:
D(E_F)   4.64 states/eV/f.u.
DFT formation energy   3.31 eV/f.u.
Spin magnetization   5.667 μB per cell
Crystal system   tetragonal

Cell: 4.8436 5.3447 4.8436 Å, 90.00 90.00 90.00°
With the nearest neighbours (Å) after each atom.
Sites, in units of the cell vectors:
1 Mn 0.5000 0.0000 0.0000  2 Zr 2.42
2 Mn 0.0000 0.0000 0.5000  2 Zr 2.42
3 Ag 0.0000 0.5000 0.0000  2 Zr 2.67
4 La 0.5000 0.5000 0.5000  4 Ag 3.42, 8 Mn 3.61
5 Zr 0.0000 0.0000 0.0000  4 Mn 2.42, 2 Ag 2.67

***

(4)
A relaxed LiLaAl crystal, computed with PBE.

Computed properties:
D(E_F)   2.99 states/eV/f.u.
DFT formation energy   0.30 eV/f.u.
Spin magnetization   0.001 μB per cell
Crystal system   trigonal
ΔE to the lowest computed polymorph   338 meV/atom

Cell: 3.3143 3.3143 7.8974 Å, 90.00 90.00 120.00°
With the nearest neighbours (Å) after each atom.
Sites, in units of the cell vectors:
1 La 0.6667 0.3333 0.3130  3 Al 3.26, 6 La 3.31
2 Li 0.3333 0.6667 0.7080  3 Al 2.87
3 Al 0.0000 0.0000 0.9790  3 Li 2.87

***

(5)
A relaxed Th5Ga2Ru2 crystal, computed with PBE.

Computed properties:
D(E_F)   9.49 states/eV/f.u.
DFT formation energy   -2.71 eV/f.u.
Spin magnetization   0.000 μB per cell
Crystal system   orthorhombic

Cell: 8.0181 7.3094 9.8796 Å, 111.71 113.94 90.00°
With the nearest neighbours (Å) after each atom.
Sites, in units of the cell vectors:
1 Th 0.8701 0.2546 0.1091  2 Ru 2.88-3.01, 2 Ga 3.07-3.08
2 Th 0.2611 0.6456 0.8909  2 Ru 2.88-3.01, 2 Ga 3.07-3.08
3 Th 0.4999 0.5547 0.3039  2 Ru 2.79-2.93, 2 Ga 2.97-3.08
4 Th 0.6960 0.7509 0.6961  2 Ru 2.79-2.93, 2 Ga 2.97-3.08
5 Th 0.3040 0.0547 0.3039  2 Ru 2.79-2.93, 2 Ga 2.97-3.08
6 Th 0.7389 0.7546 0.1091  2 Ru 2.88-3.01, 2 Ga 3.07-3.08
7 Th 0.1299 0.1456 0.8909  2 Ru 2.88-3.01, 2 Ga 3.07-3.08
8 Th 0.0991 0.7430 0.5000  1 Ru 2.55
9 Th 0.5001 0.2509 0.6961  2 Ru 2.79-2.93, 2 Ga 2.97-3.08
10 Th 0.9009 0.2430 0.5000  1 Ru 2.55
11 Ga 0.5381 0.1155 0.1509  1 Ga 2.56, 1 Ru 2.83
12 Ga 0.8873 0.4646 0.8491  1 Ga 2.56, 1 Ru 2.83
13 Ga 0.4619 0.9646 0.8491  1 Ga 2.56, 1 Ru 2.83
14 Ga 0.1127 0.6155 0.1509  1 Ga 2.56, 1 Ru 2.83
15 Ru 0.2229 0.4224 0.5000  1 Th 2.55
16 Ru 0.5000 0.3846 0.0000  6 Th 2.79-3.01, 2 Ga 2.83
17 Ru 0.7771 0.9224 0.5000  1 Th 2.55
18 Ru 0.0000 0.8846 0.0000  6 Th 2.79-3.01, 2 Ga 2.83

***

(6)
A relaxed Ca2SeI crystal, computed with PBE.

Computed properties:
D(E_F)   2.43 states/eV/f.u.
Formation energy from raw total energies   -1.29 eV per atom
Spin magnetization   1.745 μB per cell
Crystal system   tetragonal
ΔE to the lowest computed polymorph   210 meV/atom

Cell: 6.9395 6.9395 8.3875 Å, 65.56 65.56 90.00°
With the nearest neighbours (Å) after each atom.
Sites, in units of the cell vectors:
1 Se 0.5000 0.5000 0.0000  4 Ca 2.81
2 Se 0.2500 0.7500 0.5000  4 Ca 2.81
3 Ca 0.5781 0.1250 0.2500  2 Se 2.81
4 Ca 0.1719 0.6250 0.2500  2 Se 2.81
5 Ca 0.3750 0.4219 0.7500  2 Se 2.81
6 Ca 0.8750 0.8281 0.7500  2 Se 2.81
7 I 0.0000 0.0000 0.0000  4 Ca 3.19
8 I 0.7500 0.2500 0.5000  4 Ca 3.19

***

(7)
A relaxed Nd2Pd17 crystal, computed with PBE.

Computed properties:
D(E_F)   23.10 states/eV/f.u.
DFT formation energy   -6.02 eV/f.u.
Spin magnetization   0.000 μB per cell
Crystal system   trigonal

Cell: 6.9739 6.9739 6.9739 Å, 82.46 82.46 82.46°
With the nearest neighbours (Å) after each atom.
Sites, in units of the cell vectors:
1 Pd 0.8991 0.8991 0.8991  7 Pd 2.74-2.89
2 Pd 0.8409 0.3483 0.3483  9 Pd 2.64-2.89
3 Pd 0.0000 0.6965 0.3035  8 Pd 2.67-2.82
4 Pd 0.6965 0.0000 0.3035  8 Pd 2.67-2.82
5 Pd 0.1009 0.1009 0.1009  7 Pd 2.74-2.89
6 Pd 0.3483 0.3483 0.8409  9 Pd 2.64-2.89
7 Pd 0.5000 0.0000 0.0000  10 Pd 2.67-2.80
8 Pd 0.3035 0.0000 0.6965  8 Pd 2.67-2.82
9 Pd 0.6517 0.1591 0.6517  9 Pd 2.64-2.89
10 Pd 0.1591 0.6517 0.6517  9 Pd 2.64-2.89
11 Pd 0.3483 0.8409 0.3483  9 Pd 2.64-2.89
12 Pd 0.0000 0.0000 0.5000  10 Pd 2.67-2.80
13 Pd 0.6965 0.3035 0.0000  8 Pd 2.67-2.82
14 Pd 0.0000 0.3035 0.6965  8 Pd 2.67-2.82
15 Pd 0.3035 0.6965 0.0000  8 Pd 2.67-2.82
16 Pd 0.6517 0.6517 0.1591  9 Pd 2.64-2.89
17 Pd 0.0000 0.5000 0.0000  10 Pd 2.67-2.80
18 Nd 0.6677 0.6677 0.6677  16 Pd 3.14-3.48
19 Nd 0.3323 0.3323 0.3323  16 Pd 3.14-3.48

***

(8)
A relaxed Na3CaF crystal, computed with PBE.

Computed properties:
D(E_F)   5.31 states/eV/f.u.
Formation energy from raw total energies   0.18 eV per atom
Spin magnetization   1.725 μB per cell
Crystal system   cubic
ΔE to the lowest computed polymorph   974 meV/atom

Cell: 6.7626 6.7626 6.7626 Å, 90.00 90.00 90.00°
With the nearest neighbours (Å) after each atom.
Sites, in units of the cell vectors:
1 Na 0.5000 0.0000 0.0000  2 Ca 3.38
2 Na 0.0000 0.5000 0.0000  2 Ca 3.38
3 Na 0.0000 0.0000 0.5000  2 Ca 3.38
4 Ca 0.0000 0.0000 0.0000  6 Na 3.38
5 F 0.5000 0.5000 0.5000  12 Na 4.78

***

(9)
A relaxed NdSeF crystal, computed with PBE.

Computed properties:
D(E_F)   0.84 states/eV/f.u.
Formation energy from raw total energies   -2.35 eV per atom
Spin magnetization   0.000 μB per cell
Crystal system   tetragonal

Cell: 3.6090 3.6090 5.3327 Å, 109.78 109.78 90.00°
With the nearest neighbours (Å) after each atom.
Sites, in units of the cell vectors:
1 Se 0.0120 0.0120 0.0240  1 F 2.69
2 Nd 0.6884 0.6884 0.3767  4 F 2.76, 5 Se 3.03-3.04
3 F 0.2997 0.2997 0.5993  1 Se 2.69, 4 Nd 2.76

***

(10)
A relaxed NaGa5 crystal, computed with PBE.

Computed properties:
D(E_F)   2.24 states/eV/f.u.
DFT formation energy   0.03 eV/f.u.
Spin magnetization   0.000 μB per cell
Crystal system   orthorhombic
ΔE to the lowest computed polymorph   47 meV/atom

Cell: 3.3381 4.9910 7.6218 Å, 109.11 90.00 90.00°
With the nearest neighbours (Å) after each atom.
Sites, in units of the cell vectors:
1 Ga 0.0000 0.3423 0.6846  8 Ga 2.82-3.03
2 Ga 0.5000 0.5000 0.0000  4 Ga 2.82, 4 Na 3.00
3 Ga 0.5000 0.8163 0.6326  8 Ga 2.83-3.14, 2 Na 3.13
4 Ga 0.5000 0.1837 0.3674  8 Ga 2.83-3.14, 2 Na 3.13
5 Ga 0.0000 0.6577 0.3154  8 Ga 2.82-3.03
6 Na 0.0000 0.0000 0.0000  8 Ga 3.00-3.13, 2 Na 3.34

***

(11)
A relaxed Li3Zr2ScSe6 crystal, computed with PBE.

Computed properties:
D(E_F)   4.83 states/eV/f.u.
Formation energy from raw total energies   -1.41 eV per atom
Spin magnetization   0.000 μB per cell
Crystal system   monoclinic

Cell: 6.5851 6.5851 6.9102 Å, 99.13 99.13 120.00°
With the nearest neighbours (Å) after each atom.
Sites, in units of the cell vectors:
1 Li 0.1683 0.8317 0.5000  6 Se 2.73-2.75
2 Li 0.8317 0.1683 0.5000  6 Se 2.73-2.75
3 Li 0.5000 0.5000 0.5000  6 Se 2.74-2.75
4 Se 0.0831 0.4151 0.2499  1 Sc 2.73, 3 Li 2.73-2.74, 2 Zr 2.74-2.75
5 Se 0.9169 0.5849 0.7501  1 Sc 2.73, 3 Li 2.73-2.74, 2 Zr 2.74-2.75
6 Se 0.4151 0.0831 0.2499  1 Sc 2.73, 3 Li 2.73-2.74, 2 Zr 2.74-2.75
7 Se 0.2482 0.2482 0.7496  1 Sc 2.73, 2 Zr 2.74, 3 Li 2.75
8 Se 0.7518 0.7518 0.2504  1 Sc 2.73, 2 Zr 2.74, 3 Li 2.75
9 Se 0.5849 0.9169 0.7501  1 Sc 2.73, 3 Li 2.73-2.74, 2 Zr 2.74-2.75
10 Sc 0.0000 0.0000 0.0000  6 Se 2.73
11 Zr 0.6661 0.3339 0.0000  6 Se 2.74-2.75
12 Zr 0.3339 0.6661 0.0000  6 Se 2.74-2.75

***

(12)
A relaxed LaYOs2 crystal, computed with PBE.

Computed properties:
D(E_F)   4.48 states/eV/f.u.
DFT formation energy   1.97 eV/f.u.
Spin magnetization   0.000 μB per cell
Crystal system   trigonal
ΔE to the lowest computed polymorph   588 meV/atom

Cell: 8.9133 8.9133 8.9133 Å, 21.95 21.95 21.95°
With the nearest neighbours (Å) after each atom.
Sites, in units of the cell vectors:
1 Y 0.2500 0.2500 0.2500  6 Os 2.91
2 La 0.7500 0.7500 0.7500  6 Os 2.95
3 Os 0.9990 0.9990 0.9990  3 Y 2.91, 3 La 2.95
4 Os 0.5010 0.5010 0.5010  3 Y 2.91, 3 La 2.95

***

Among the records above, which one has the highest D(E_F)?
Nd2Pd17

***

Number 1 is which compound?
Y2GaSi2Rh5

***

Which of these has the lowest D(E_F)?
NdSeF